{"formula": "Li2Ho3Al7", "functional": "PBE-GGA", "state": "optimized geometry", "formation_energy_mev_per_atom": -389, "crystal_system": "trigonal", "m_tot_mub_per_atom": 0.00, "total_energy_ev_per_atom": -4.04, "lattice": [[2.768, 1.598, 8.630], [-2.768, 1.598, 8.630], [0.000, -3.196, 8.630]], "species": ["Li", "Li", "Ho", "Ho", "Ho", "Al", "Al", "Al", "Al", "Al", "Al", "Al"], "fractional_positions": [[0.165, 0.165, 0.165], [0.835, 0.835, 0.835], [0.359, 0.359, 0.359], [0.500, 0.500, 0.500], [0.641, 0.641, 0.641], [0.000, 0.000, 0.000], [0.085, 0.085, 0.576], [0.085, 0.576, 0.085], [0.424, 0.915, 0.915], [0.576, 0.085, 0.085], [0.915, 0.424, 0.915], [0.915, 0.915, 0.424]]}



{"formula": "Y3CCl", "functional": "PBE-GGA", "state": "optimized geometry", "relative_energy_kj_per_mol_fu": 0, "crystal_system": "cubic", "m_tot_mub_per_atom": 0.00, "total_energy_ev_per_atom": -6.31, "e_form_raw_mev_per_atom": -217, "lattice": [[4.958, 0.000, 0.000], [0.000, 4.958, 0.000], [0.000, 0.000, 4.958]], "species": ["Y", "Y", "Y", "C", "Cl"], "fractional_positions": [[0.000, 0.000, 0.500], [0.000, 0.500, 0.000], [0.500, 0.000, 0.000], [0.000, 0.000, 0.000], [0.500, 0.500, 0.500]]}



{"formula": "YScIn", "functional": "PBE-GGA", "state": "optimized geometry", "relative_energy_kj_per_mol_fu": 0, "formation_energy_mev_per_atom": -385, "crystal_system": "hexagonal", "m_tot_mub_per_atom": 0.00, "total_energy_ev_per_atom": -5.56, "lattice": [[5.184, 0.000, 0.000], [-2.592, 4.490, 0.000], [0.000, 0.000, 6.648]], "species": ["Y", "Y", "Sc", "Sc", "In", "In"], "fractional_positions": [[0.000, 0.000, 0.000], [0.000, 0.000, 0.500], [0.333, 0.667, 0.250], [0.667, 0.333, 0.750], [0.333, 0.667, 0.750], [0.667, 0.333, 0.250]]}



{"formula": "NbCrS4", "functional": "PBE-GGA", "state": "optimized geometry", "crystal_system": "monoclinic", "m_tot_mub_per_atom": 0.46, "total_energy_ev_per_atom": -6.70, "e_form_raw_mev_per_atom": -667, "lattice": [[6.762, 0.000, 0.000], [0.000, 5.332, 0.000], [-3.403, 0.000, 6.081]], "species": ["Nb", "Nb", "Cr", "Cr", "S", "S", "S", "S", "S", "S", "S", "S"], "fractional_positions": [[0.000, 0.000, 0.000], [0.000, 0.500, 0.500], [0.500, 0.000, 0.000], [0.500, 0.500, 0.500], [0.184, 0.230, 0.355], [0.184, 0.270, 0.855], [0.330, 0.724, 0.149], [0.330, 0.776, 0.649], [0.670, 0.224, 0.351], [0.670, 0.276, 0.851], [0.816, 0.730, 0.145], [0.816, 0.770, 0.645]]}